[1]
! BeAsPb PBE optimized geometry; values from VASP
! Polymorph energy (0 for the lowest one), meV per atom: 862.3
! D(E_F), states/eV/f.u.: 2.85
! Formation energy from the elements, eV/f.u.: 2.58
! Space-group type: F-43m, No. 216
&SYSTEM
  ibrav = 0, nat = 3, ntyp = 3
/
ATOMIC_SPECIES
As 74.92 As.upf
Pb 207.20 Pb.upf
Be 9.01 Be.upf
CELL_PARAMETERS angstrom
4.7519 0.0000 0.0000
2.3760 4.1153 0.0000
2.3760 1.3718 3.8799
ATOMIC_POSITIONS angstrom
As 0.0000 0.0000 0.0000
Pb 7.1279 4.1153 2.9099
Be 4.7519 2.7435 1.9400

[2]
! BeAs2Pb PBE optimized geometry; values from VASP
! D(E_F), states/eV/f.u.: 1.30
! Formation energy from the elements, eV/f.u.: 2.54
! Space-group type: P4/mmm, No. 123
&SYSTEM
  ibrav = 0, nat = 4, ntyp = 3
/
ATOMIC_SPECIES
As 74.92 As.upf
Be 9.01 Be.upf
Pb 207.20 Pb.upf
CELL_PARAMETERS angstrom
4.4759 0.0000 0.0000
0.0000 4.4759 0.0000
0.0000 0.0000 4.1741
ATOMIC_POSITIONS angstrom
As 0.0000 0.0000 0.0000
As 2.2379 2.2379 0.0000
Be 2.2379 0.0000 2.0871
Pb 0.0000 2.2379 2.0871

[3]
! BeAsPb PBE optimized geometry; values from VASP
! Polymorph energy (0 for the lowest one), meV per atom: 291.6
! D(E_F), states/eV/f.u.: 1.03
! Formation energy from the elements, eV/f.u.: 0.87
! Space-group type: I4mm, No. 107
&SYSTEM
  ibrav = 0, nat = 3, ntyp = 3
/
ATOMIC_SPECIES
Pb 207.20 Pb.upf
As 74.92 As.upf
Be 9.01 Be.upf
CELL_PARAMETERS angstrom
-4.7603 3.5249 2.0402
-3.8810 -0.1174 4.9165
5.8338 -0.3662 -2.2539
ATOMIC_POSITIONS angstrom
Pb -5.7634 2.2727 4.6399
As -7.9061 3.1176 6.3649
Be -3.6129 1.4247 2.9086

Question: Which of these has the highest D(E_F)?
Answer: number 1

Question: Among the records above, which one has the highest formation energy from the elements?
Answer: number 1

Question: What is the formation energy from the elements in the first record?
Answer: 2.58 eV/f.u.